1.
IrCl | PBE | relaxed

Its calculated total energy is -3.94 eV per atom. For the spin magnetization, the calculation gives 0.00 μB/f.u. Its excess energy over the best structure of this formula in the dataset is 1.274 eV/atom. Its volume is 25.345 A^3/atom.

It has space group Pm-3n (No. 223), with a = 6.7250 Å, b = 6.7250 Å, c = 6.7250 Å, α = 90.00°, β = 90.00° and γ = 90.00°. The asymmetric unit holds Ir at (0.0000, 0.2500, 0.5000) and Cl at (0.0000, 0.5000, 0.2500).


2.
LiAcZn2F8 | PBE | relaxed

Its calculated total energy is -4.93 eV per atom. For the spin magnetization, the calculation gives 0.00 μB/f.u. Its volume is 14.494 A^3/atom.

It has space group P-1 (No. 2), with a = 4.3746 Å, b = 5.2285 Å, c = 7.6603 Å, α = 87.68°, β = 89.74° and γ = 83.46°. The asymmetric unit holds Li at (0.0000, 0.0000, 0.0000), Ac at (0.0000, 0.0000, 0.5000), Zn at (0.4789, 0.4409, 0.1896), F at (0.1153, 0.7898, 0.7979), F at (0.1572, 0.7035, 0.2707), F at (0.3559, 0.2825, 0.9715) and F at (0.4417, 0.2455, 0.4288).


3.
Ac4ZnIn | PBE | relaxed

Its formation energy from the elements is -0.1759 eV/atom. Its calculated total energy is -3.58 eV per atom. For the spin magnetization, the calculation gives 0.00 μB/f.u. Its excess energy over the best structure of this formula in the dataset is 0.000 eV/atom. Its volume is 36.639 A^3/atom.

It has space group P2_1/m (No. 11), with a = 6.0810 Å, b = 7.6936 Å, c = 9.5150 Å, α = 90.00°, β = 99.01° and γ = 90.00°. The asymmetric unit holds Ac at (0.1496, 0.2500, 0.0514), Ac at (0.1964, 0.7500, 0.3707), Ac at (0.3333, 0.5147, 0.7308), Zn at (0.3642, 0.7500, 0.0455) and In at (0.2292, 0.2500, 0.4169).


4.
Dy3ThP4 | PBE | relaxed

Its formation energy from the elements is -1.6151 eV/atom. Its calculated total energy is -6.97 eV per atom. For the spin magnetization, the calculation gives 0.00 μB/f.u. Its volume is 23.379 A^3/atom.

It has space group Cmmm (No. 65), with a = 8.0803 Å, b = 11.4289 Å, c = 4.0505 Å, α = 90.00°, β = 90.00° and γ = 90.00°. The asymmetric unit holds Dy at (0.0000, 0.0000, 0.0000), Dy at (0.2500, 0.2500, 0.5000), Th at (0.0000, 0.5000, 0.0000), P at (0.0000, 0.2482, 0.0000) and P at (0.2453, 0.0000, 0.5000).


5.
VZn2Ni8 | PBE | relaxed

Its formation energy from the elements is 0.0450 eV/atom. Its calculated total energy is -5.22 eV per atom. For the spin magnetization, the calculation gives 1.04 μB/f.u. Its excess energy over the best structure of this formula in the dataset is 0.000 eV/atom. Its volume is 12.123 A^3/atom.

It has space group Cmmm (No. 65), with a = 7.2621 Å, b = 9.5990 Å, c = 3.8260 Å, α = 90.00°, β = 90.00° and γ = 90.00°. The asymmetric unit holds V at (0.0000, 0.0000, 0.0000), Zn at (0.0000, 0.3751, 0.5000), Ni at (0.0000, 0.2406, 0.0000), Ni at (0.1679, 0.1303, 0.5000) and Ni at (0.1717, 0.5000, 0.0000).